# 1
The following is a PBE calculation of a relaxed structure of LiAsPt2, from the Alexandria database.

Lattice parameters (Å, degrees): 4.9444 4.9444 4.9444 135.01 135.01 65.51
Fractional positions:
1 As 0.5000 0.5000 0.0000
2 Li 0.7500 0.2500 0.5000
3 Pt 0.0000 0.0000 0.0000
4 Pt 0.2500 0.7500 0.5000

Values from the calculation:
The symmetry is No. 119. As for the raw total energy: -20.303 eV per formula unit. The calculation puts the calculated formation energy at -414.5 meV per atom. As for the mass density: 13.17 g cm⁻³.

***

# 2
The following is a PBE calculation of a relaxed structure of RbBa2Si, from the Alexandria database.

Lattice parameters (Å, degrees): 4.1717 4.1717 11.7957 90.00 90.00 90.00
Fractional positions:
1 Si 0.5000 0.5000 0.0000
2 Ba 0.0000 0.0000 0.8500
3 Ba 0.0000 0.0000 0.1500
4 Rb 0.5000 0.5000 0.5000

Values from the calculation:
The symmetry is No. 123. As for the raw total energy: -10.606 eV per formula unit. As for the mass density: 3.14 g cm⁻³.

***

# 3
The following is a PBE calculation of a relaxed structure of Tb3ZrRu4, from the Alexandria database.

Lattice parameters (Å, degrees): 3.3645 3.3645 13.5921 90.00 90.00 90.00
Fractional positions:
1 Ru 0.0000 0.0000 0.8858
2 Ru 0.0000 0.0000 0.1142
3 Ru 0.0000 0.0000 0.3721
4 Ru 0.0000 0.0000 0.6279
5 Tb 0.5000 0.5000 0.2481
6 Tb 0.5000 0.5000 0.5000
7 Tb 0.5000 0.5000 0.7519
8 Zr 0.5000 0.5000 0.0000

Values from the calculation:
The symmetry is No. 123. As for the raw total energy: -62.705 eV per formula unit. The calculation puts the calculated formation energy at -395.4 meV per atom. As for the mass density: 10.49 g cm⁻³.